DFT (PBE-GGA) results for a relaxed Al2CuSi2 crystal.

Output
- Offset from the most stable computed form: 193 meV/atom
- Calculated volume: 16.25 Å³/atom
- Magnetization: 0.0000 μB per atom
- Formation energy from raw total energies: 0.281 eV per atom

Cell: 6.6421 6.6421 3.6822 Å, 90.00 90.00 90.00°
Last column: nearest neighbours and their distance in Å.
Space group P4/mbm (No. 127)
Unique sites:
Al1 0.1652 0.3348 0.0000 (multiplicity 4)  2 Cu 2.48, 6 Si 2.66-2.70
Cu1 0.0000 0.0000 0.0000 (multiplicity 2)  4 Al 2.48
Si1 0.1305 0.6305 0.5000 (multiplicity 4)  1 Si 2.45, 6 Al 2.66-2.70



DFT (PBE-GGA) results for a relaxed SrY2Te4 crystal.

Output
- Offset from the most stable computed form: 14 meV/atom
- Calculated volume: 34.89 Å³/atom
- Magnetization: 0.0000 μB per atom
- Formation energy from raw total energies: -1.503 eV per atom

Cell: 4.4243 14.4816 15.2487 Å, 90.00 90.00 90.00°
Last column: nearest neighbours and their distance in Å.
Space group Cmcm (No. 63)
Unique sites:
Sr1 0.0000 0.1125 0.2500 (multiplicity 4)  6 Te 3.27-3.44
Y1 0.0000 0.3654 0.0679 (multiplicity 8)  6 Te 3.01-3.12
Te1 0.0000 0.0000 0.0000 (multiplicity 4)  4 Y 3.12
Te2 0.0000 0.2726 0.6164 (multiplicity 8)  3 Y 3.07-3.11, 2 Sr 3.44
Te3 0.0000 0.4461 0.2500 (multiplicity 4)  2 Y 3.01, 2 Sr 3.27



DFT (PBE-GGA) results for a relaxed K5In3Br12 crystal.

Output
- Calculated volume: 43.86 Å³/atom
- Magnetization: 0.0000 μB per atom
- Formation energy from raw total energies: -1.145 eV per atom

Cell: 19.1460 19.1460 19.1460 Å, 90.00 90.00 90.00°
Last column: nearest neighbours and their distance in Å.
Space group Ia-3d (No. 230)
Unique sites:
K1 0.0000 0.0000 0.0000 (multiplicity 16)  6 Br 3.23
K2 0.0000 0.2500 0.3750 (multiplicity 24)  4 Br 3.46
In1 0.0000 0.2500 0.1250 (multiplicity 24)  4 Br 2.72
Br1 0.0248 0.0458 0.3398 (multiplicity 96)  1 In 2.72



DFT (PBE-GGA) results for a relaxed LaPd2Pt4 crystal.

Output
- Offset from the most stable computed form: 563 meV/atom
- Calculated volume: 24.24 Å³/atom
- Magnetization: 0.0010 μB per atom

Cell: 7.9851 7.9851 5.3226 Å, 90.00 90.00 90.00°
Last column: nearest neighbours and their distance in Å.
Space group I4/mmm (No. 139)
Unique sites:
La1 0.0000 0.0000 0.0000 (multiplicity 2)  8 Pt 3.20
Pd1 0.0000 0.5000 0.2500 (multiplicity 4)  4 Pt 2.59, 2 Pd 2.66
Pt1 0.0000 0.2214 0.5000 (multiplicity 8)  2 Pt 2.50, 2 Pd 2.59



| no. | E_tot (eV/atom) |
| --- | --- |
| 1 | -4.205 |
| 2 | -5.385 |
| 3 | -2.834 |
| 4 | -5.582 |